First-principles (PBE) data for crystalline Tb4BBr5 at its relaxed geometry, as listed in Alexandria.

The value obtained for the volume is 28.39 A^3/atom. As for the formation energy from raw total energies: -1.411 eV per atom. Its density of states at the Fermi level is 4.6 states/eV/f.u. For the energy above the most stable polymorph in this dataset, the calculation gives 0 meV/atom.

Lattice parameters (Å, degrees): 18.017 3.932 8.223 90.00 102.90 90.00
Space group C2/m (No. 12)
One atom of each set of equivalent atoms:
Tb (0.001, 0.000, 0.291)
Tb (0.143, 0.500, 0.575)
B (0.000, 0.500, 0.500)
Br (0.000, 0.500, 0.000)
Br (0.166, 0.000, 0.837)
Br (0.172, 0.000, 0.332)